ZrTlVO5: optimized geometry, PBE+U.

M_tot	0.00	μB/cell
total DFT energy (no corrections)	-7.62	eV/atom
Fermi-level density of states	0.00	states/eV/f.u.

Unit cell a=6.1667 b=6.1667 c=7.8776 alpha=105.49 beta=105.49 gamma=105.14
Sites, in units of the cell vectors:
Zr (0.0000, 0.0000, 0.0000)
Zr (0.0000, 0.0000, 0.5000)
Tl (0.3216, 0.6784, 0.7500)
Tl (0.6784, 0.3216, 0.2500)
V (0.3132, 0.6868, 0.2500)
V (0.6868, 0.3132, 0.7500)
O (0.0579, 0.9421, 0.7500)
O (0.1313, 0.7187, 0.3867)
O (0.2230, 0.3842, 0.1099)
O (0.2813, 0.8687, 0.1133)
O (0.3842, 0.2230, 0.6099)
O (0.6158, 0.7770, 0.3901)
O (0.7187, 0.1313, 0.8867)
O (0.7770, 0.6158, 0.8901)
O (0.8687, 0.2813, 0.6133)
O (0.9421, 0.0579, 0.2500)